[1]
{"formula": "BeNiBRu", "functional": "PBE", "state": "optimized geometry", "lattice": [[5.2991, 0.0000, 0.0000], [0.0000, 5.2991, 0.0000], [0.0000, 0.0000, 5.2991]], "species": ["Be", "Be", "Be", "Be", "Ni", "Ni", "Ni", "Ni", "B", "B", "B", "B", "Ru", "Ru", "Ru", "Ru"], "fractional_positions": [[0.0000, 0.0000, 0.0000], [0.0000, 0.5000, 0.5000], [0.5000, 0.0000, 0.5000], [0.5000, 0.5000, 0.0000], [0.2500, 0.2500, 0.7500], [0.2500, 0.7500, 0.2500], [0.7500, 0.2500, 0.2500], [0.7500, 0.7500, 0.7500], [0.0000, 0.0000, 0.5000], [0.0000, 0.5000, 0.0000], [0.5000, 0.0000, 0.0000], [0.5000, 0.5000, 0.5000], [0.2500, 0.2500, 0.2500], [0.2500, 0.7500, 0.7500], [0.7500, 0.2500, 0.7500], [0.7500, 0.7500, 0.2500]], "vol_a3_per_atom": 9.30, "formation_energy_ev_per_atom": -0.240, "space_group": "F-43m", "magnetic_moment_mub_per_fu": 0.00, "density_kg_m3": 8016}

[2]
{"formula": "Tm2BeNi6B", "functional": "PBE", "state": "optimized geometry", "lattice": [[4.5631, -2.6354, 0.0000], [4.5631, 2.6354, 0.0000], [-3.0506, 0.0000, 5.5435]], "species": ["Tm", "Tm", "Be", "Ni", "Ni", "Ni", "Ni", "Ni", "Ni", "B"], "fractional_positions": [[0.2208, 0.2208, 0.1623], [0.7792, 0.7792, 0.8377], [0.5000, 0.5000, 0.0000], [0.2410, 0.2410, 0.6878], [0.2407, 0.7056, 0.6873], [0.2944, 0.7593, 0.3127], [0.7056, 0.2407, 0.6873], [0.7593, 0.2944, 0.3127], [0.7590, 0.7590, 0.3122], [0.0000, 0.0000, 0.5000]], "vol_a3_per_atom": 13.33, "formation_energy_ev_per_atom": -0.427, "space_group": "C2/m", "magnetic_moment_mub_per_fu": 0.00, "density_kg_m3": 8841}

[3]
{"formula": "TmBeNi6B", "functional": "PBE", "state": "optimized geometry", "lattice": [[-2.6699, 4.0933, 5.0449], [2.6699, -4.0933, 5.0449], [2.6699, 4.0933, -5.0449]], "species": ["Tm", "Tm", "Be", "Be", "Ni", "Ni", "Ni", "Ni", "Ni", "Ni", "Ni", "Ni", "Ni", "Ni", "Ni", "Ni", "B", "B"], "fractional_positions": [[0.4319, 0.1819, 0.2500], [0.5681, 0.8181, 0.7500], [0.0000, 0.0000, 0.5000], [0.0000, 0.5000, 0.0000], [0.1104, 0.3784, 0.2287], [0.1104, 0.8818, 0.7320], [0.1732, 0.9232, 0.2500], [0.2807, 0.5307, 0.7500], [0.3502, 0.1182, 0.7287], [0.3502, 0.6216, 0.2320], [0.6498, 0.3784, 0.7680], [0.6498, 0.8818, 0.2713], [0.7193, 0.4693, 0.2500], [0.8268, 0.0768, 0.7500], [0.8896, 0.1182, 0.2680], [0.8896, 0.6216, 0.7713], [0.0000, 0.5000, 0.5000], [0.5000, 0.5000, 0.0000]], "vol_a3_per_atom": 12.25, "formation_energy_ev_per_atom": -0.065, "space_group": "Imma", "magnetic_moment_mub_per_fu": 0.00, "density_kg_m3": 8146}

[4]
{"formula": "YBe2NiB", "functional": "PBE", "state": "optimized geometry", "lattice": [[3.6429, 0.0000, 0.0000], [0.0000, 3.7003, 0.0000], [0.0000, 0.0000, 8.9283]], "species": ["Y", "Y", "Be", "Be", "Be", "Be", "Ni", "Ni", "B", "B"], "fractional_positions": [[0.0000, 0.0000, 0.0000], [0.5000, 0.5000, 0.5000], [0.0000, 0.0000, 0.3811], [0.0000, 0.5000, 0.2372], [0.5000, 0.0000, 0.7372], [0.5000, 0.5000, 0.8811], [0.0000, 0.5000, 0.7395], [0.5000, 0.0000, 0.2395], [0.0000, 0.0000, 0.6265], [0.5000, 0.5000, 0.1265]], "vol_a3_per_atom": 12.04, "formation_energy_ev_per_atom": -0.252, "space_group": "Imm2", "magnetic_moment_mub_per_fu": 0.00, "density_kg_m3": 4869}